# PBE CeZnNi, optimized geometry
# Crystal system: monoclinic
# VASP energy: -14.1 eV per formula unit
# Total magnetic moment: 0.00 μB/f.u.
# D(E_F): 1.25 states/eV/atom
# Energy of formation from the pure elements: -0.37 eV per atom
data_CeZnNi
_chemical_formula_sum 'Ce4 Zn4 Ni4'
_cell_length_a 10.900
_cell_length_b 4.294
_cell_length_c 4.877
_cell_angle_alpha 90.00
_cell_angle_beta 101.02
_cell_angle_gamma 90.00
_symmetry_space_group_name_H-M 'C 1 2/m 1'
_symmetry_Int_Tables_number 12
loop_
_symmetry_equiv_pos_as_xyz
'x,y,z'
'-x,-y,-z'
'-x,y,-z'
'x,-y,z'
'x+1/2,y+1/2,z'
'-x+1/2,-y+1/2,-z'
'-x+1/2,y+1/2,-z'
'x+1/2,-y+1/2,z'
loop_
_atom_site_label
_atom_site_type_symbol
_atom_site_fract_x
_atom_site_fract_y
_atom_site_fract_z
Ce1 Ce 0.121 0.000 0.306
Zn1 Zn 0.087 0.500 0.792
Ni1 Ni 0.211 0.000 0.847